First-principles (PBE) data for a relaxed structure of Nd2BiPd2, as listed in the Alexandria database.

Summary:
M_tot: 0.00 μB per cell
ΔE_f: -0.85 eV per atom
Volume: 248.7 Å³/cell

Structure (CIF):
```
data_Nd2BiPd2
_space_group_name_H-M_alt 'P 4/m b m'
_space_group_IT_number 127
_space_group_name_Hall '-P 4 2ab'
_cell_length_a 7.962
_cell_length_b 7.962
_cell_length_c 3.924
_cell_angle_alpha 90.00
_cell_angle_beta 90.00
_cell_angle_gamma 90.00
loop_
_atom_site_label
_atom_site_type_symbol
_atom_site_fract_x
_atom_site_fract_y
_atom_site_fract_z
Nd1 Nd 0.175 0.325 0.000
Bi1 Bi 0.000 0.000 0.500
Pd1 Pd 0.123 0.623 0.500
```